A geometry-optimized TbCe2PmAs4 structure, computed with PBE.

Output
* crystal system: monoclinic
* SG: No. 10
* calculated formation energy: -11.86 eV per formula unit
* size of the total moment: 1.2 μB/f.u.
* electronic total energy: -0.475 Ry/atom

a = 7.2726 Å, b = 4.2023 Å, c = 7.2807 Å
α = 90.00°, β = 109.48°, γ = 90.00°
Sites, in units of the cell vectors:
Tb  0.0000  0.0000  0.0000
Ce  0.5000  0.0000  0.5000
Ce  0.5000  0.5000  0.0000
Pm  0.0000  0.5000  0.5000
As  0.2494  0.5000  0.2468
As  0.2517  0.0000  0.7536
As  0.7483  0.0000  0.2464
As  0.7506  0.5000  0.7532